[1]
Density functional theory data (PBE-GGA) for an optimized crystal structure of CuTcNi2.

Properties
Magnetization: 0.451 μB per atom
Fermi-level density of states: 4.89 states/eV/f.u.
Space-group type: No. 47
E: -25.0 eV/cell
ρ: 9.36 g/cm3
Formation enthalpy at 0 K: 25.6 kJ/mol of atoms
Distance to the lowest polymorph of the same formula: 0.279 eV/atom

Lattice parameters (Å, degrees): 2.587 4.409 4.339 90.00 90.00 90.00
Sites, in units of the cell vectors:
Tc1 0.500 0.000 0.500
Ni1 0.500 0.500 0.000
Ni2 0.000 0.000 0.000
Cu1 0.000 0.500 0.500

***

[2]
Density functional theory data (PBE-GGA) for an optimized crystal structure of Cu2Tc4Ni.

Properties
Magnetization: 0.651 μB per atom
Fermi-level density of states: 7.55 states/eV/f.u.
Space-group type: No. 139
E: -44.9 eV/cell
ρ: 8.03 g/cm3
Formation enthalpy at 0 K: 145.6 kJ/mol of atoms

Lattice parameters (Å, degrees): 4.399 4.399 6.915 71.46 71.46 90.00
Sites, in units of the cell vectors:
Tc1 0.187 0.187 0.626
Tc2 0.813 0.813 0.374
Tc3 0.000 0.500 0.000
Tc4 0.500 0.000 0.000
Ni1 0.000 0.000 0.000
Cu1 0.386 0.386 0.229
Cu2 0.614 0.614 0.771

***

[3]
Density functional theory data (PBE-GGA) for an optimized crystal structure of Cu3TcNi12.

Properties
Magnetization: 0.265 μB per atom
Fermi-level density of states: 21.79 states/eV/f.u.
Space-group type: No. 123
E: -91.5 eV/cell
ρ: 9.16 g/cm3
Formation enthalpy at 0 K: 3.1 kJ/mol of atoms

Lattice parameters (Å, degrees): 3.560 3.560 14.209 90.00 90.00 90.00
Sites, in units of the cell vectors:
Ni1 0.000 0.500 0.376
Ni2 0.000 0.500 0.874
Ni3 0.500 0.500 0.252
Ni4 0.000 0.500 0.126
Ni5 0.500 0.500 0.000
Ni6 0.500 0.500 0.500
Ni7 0.500 0.500 0.748
Ni8 0.500 0.000 0.624
Ni9 0.000 0.500 0.624
Ni10 0.500 0.000 0.376
Ni11 0.500 0.000 0.126
Ni12 0.500 0.000 0.874
Cu1 0.000 0.000 0.747
Cu2 0.000 0.000 0.500
Cu3 0.000 0.000 0.253
Tc1 0.000 0.000 0.000

***

[4]
Density functional theory data (PBE-GGA) for an optimized crystal structure of CuTcNi2.

Properties
Magnetization: 0.201 μB per atom
Fermi-level density of states: 5.36 states/eV/f.u.
Space-group type: No. 65
E: -25.5 eV/cell
ρ: 9.54 g/cm3
Formation enthalpy at 0 K: 12.0 kJ/mol of atoms
Distance to the lowest polymorph of the same formula: 0.138 eV/atom

Lattice parameters (Å, degrees): 4.486 4.486 2.551 90.00 90.00 108.89
Sites, in units of the cell vectors:
Ni1 0.500 0.500 0.000
Ni2 0.000 0.000 0.000
Cu1 0.000 0.500 0.500
Tc1 0.500 0.000 0.500

***

[5]
Density functional theory data (PBE-GGA) for an optimized crystal structure of CuTcNi2.

Properties
Magnetization: 0.000 μB per atom
Fermi-level density of states: 4.00 states/eV/f.u.
Space-group type: No. 8
E: -25.7 eV/cell
ρ: 9.58 g/cm3
Formation enthalpy at 0 K: 8.2 kJ/mol of atoms
Distance to the lowest polymorph of the same formula: 0.098 eV/atom

Lattice parameters (Å, degrees): 4.461 4.461 4.500 81.14 81.14 33.15
Sites, in units of the cell vectors:
Cu1 0.253 0.253 0.232
Ni1 0.003 0.003 0.012
Ni2 0.748 0.748 0.738
Tc1 0.497 0.497 0.518

***

[6]
Density functional theory data (PBE-GGA) for an optimized crystal structure of CuTcNi2.

Properties
Magnetization: 0.000 μB per atom
Fermi-level density of states: 2.78 states/eV/f.u.
Space-group type: No. 123
E: -26.1 eV/cell
ρ: 9.63 g/cm3
Formation enthalpy at 0 K: -1.3 kJ/mol of atoms
Distance to the lowest polymorph of the same formula: 0.000 eV/atom

Lattice parameters (Å, degrees): 2.594 2.594 7.148 90.00 90.00 90.00
Sites, in units of the cell vectors:
Ni1 0.000 0.000 0.756
Ni2 0.000 0.000 0.244
Cu1 0.500 0.500 0.000
Tc1 0.500 0.500 0.500

***

[7]
Density functional theory data (PBE-GGA) for an optimized crystal structure of CuTc2Ni6.

Properties
Magnetization: 0.000 μB per atom
Fermi-level density of states: 11.70 states/eV/f.u.
Space-group type: No. 63
E: -114.6 eV/cell
ρ: 8.89 g/cm3
Formation enthalpy at 0 K: 23.7 kJ/mol of atoms

Lattice parameters (Å, degrees): 4.016 7.645 7.645 76.90 90.00 90.00
Sites, in units of the cell vectors:
Ni1 0.750 0.627 0.971
Ni2 0.250 0.832 0.959
Ni3 0.750 0.217 0.591
Ni4 0.250 0.591 0.217
Ni5 0.250 0.373 0.029
Ni6 0.750 0.409 0.783
Ni7 0.750 0.029 0.373
Ni8 0.250 0.783 0.409
Ni9 0.750 0.168 0.041
Ni10 0.250 0.041 0.168
Ni11 0.750 0.959 0.832
Ni12 0.250 0.971 0.627
Cu1 0.750 0.807 0.193
Cu2 0.250 0.193 0.807
Tc1 0.750 0.388 0.244
Tc2 0.750 0.756 0.612
Tc3 0.250 0.244 0.388
Tc4 0.250 0.612 0.756

***

[8]
Density functional theory data (PBE-GGA) for an optimized crystal structure of CuTcNi2.

Properties
Magnetization: 0.000 μB per atom
Fermi-level density of states: 4.45 states/eV/f.u.
Space-group type: No. 166
E: -25.7 eV/cell
ρ: 9.47 g/cm3
Formation enthalpy at 0 K: 8.1 kJ/mol of atoms
Distance to the lowest polymorph of the same formula: 0.098 eV/atom

Lattice parameters (Å, degrees): 8.426 8.426 8.426 17.82 17.82 17.82
Sites, in units of the cell vectors:
Ni1 0.001 0.001 0.001
Ni2 0.499 0.499 0.499
Cu1 0.750 0.750 0.750
Tc1 0.250 0.250 0.250

***

[9]
Density functional theory data (PBE-GGA) for an optimized crystal structure of CuTcNi.

Properties
Magnetization: 0.000 μB per atom
Fermi-level density of states: 1.98 states/eV/f.u.
Space-group type: No. 216
E: -18.7 eV/cell
ρ: 8.68 g/cm3
Formation enthalpy at 0 K: 49.6 kJ/mol of atoms
Distance to the lowest polymorph of the same formula: 0.393 eV/atom

Lattice parameters (Å, degrees): 3.905 3.905 3.905 60.00 60.00 60.00
Sites, in units of the cell vectors:
Cu1 0.500 0.500 0.500
Tc1 0.000 0.000 0.000
Ni1 0.750 0.750 0.750

***

[10]
Density functional theory data (PBE-GGA) for an optimized crystal structure of CuTcNi2.

Properties
Magnetization: 0.832 μB per atom
Fermi-level density of states: 3.22 states/eV/f.u.
Space-group type: No. 123
E: -25.1 eV/cell
ρ: 9.37 g/cm3
Formation enthalpy at 0 K: 23.3 kJ/mol of atoms
Distance to the lowest polymorph of the same formula: 0.255 eV/atom

Lattice parameters (Å, degrees): 3.459 3.780 3.780 90.00 90.00 90.00
Sites, in units of the cell vectors:
Ni1 0.000 0.000 0.000
Ni2 0.000 0.500 0.500
Tc1 0.500 0.500 0.000
Cu1 0.500 0.000 0.500

***

[11]
Density functional theory data (PBE-GGA) for an optimized crystal structure of CuTcNi2.

Properties
Magnetization: 0.434 μB per atom
Fermi-level density of states: 5.51 states/eV/f.u.
Space-group type: No. 122
E: -46.9 eV/cell
ρ: 8.77 g/cm3
Formation enthalpy at 0 K: 61.8 kJ/mol of atoms
Distance to the lowest polymorph of the same formula: 0.654 eV/atom

Lattice parameters (Å, degrees): 6.476 6.476 5.226 51.72 51.72 90.00
Sites, in units of the cell vectors:
Ni1 0.127 0.625 0.250
Ni2 0.375 0.377 0.750
Ni3 0.875 0.873 0.750
Ni4 0.623 0.125 0.250
Cu1 0.500 0.500 0.000
Cu2 0.250 0.750 0.500
Tc1 0.750 0.250 0.500
Tc2 0.000 0.000 0.000

***

[12]
Density functional theory data (PBE-GGA) for an optimized crystal structure of CuTcNi3.

Properties
Magnetization: 0.962 μB per atom
Fermi-level density of states: 4.36 states/eV/f.u.
Space-group type: No. 221
E: -25.4 eV/cell
ρ: 7.43 g/cm3
Formation enthalpy at 0 K: 123.4 kJ/mol of atoms
Distance to the lowest polymorph of the same formula: 0.000 eV/atom

Lattice parameters (Å, degrees): 4.226 4.226 4.226 90.00 90.00 90.00
Sites, in units of the cell vectors:
Ni1 0.500 0.000 0.000
Ni2 0.000 0.500 0.000
Ni3 0.000 0.000 0.500
Cu1 0.000 0.000 0.000
Tc1 0.500 0.500 0.500

***

[13]
Density functional theory data (PBE-GGA) for an optimized crystal structure of CuTcNi2.

Properties
Magnetization: 0.258 μB per atom
Fermi-level density of states: 5.86 states/eV/f.u.
Space-group type: No. 123
E: -25.2 eV/cell
ρ: 9.42 g/cm3
Formation enthalpy at 0 K: 19.1 kJ/mol of atoms
Distance to the lowest polymorph of the same formula: 0.212 eV/atom

Lattice parameters (Å, degrees): 4.343 4.343 2.608 90.00 90.00 90.00
Sites, in units of the cell vectors:
Cu1 0.000 0.500 0.500
Ni1 0.000 0.000 0.000
Ni2 0.500 0.500 0.000
Tc1 0.500 0.000 0.500

***

[14]
Density functional theory data (PBE-GGA) for an optimized crystal structure of CuTcNi2.

Properties
Magnetization: 0.000 μB per atom
Fermi-level density of states: 4.40 states/eV/f.u.
Space-group type: No. 12
E: -25.6 eV/cell
ρ: 9.56 g/cm3
Formation enthalpy at 0 K: 10.0 kJ/mol of atoms
Distance to the lowest polymorph of the same formula: 0.117 eV/atom

Lattice parameters (Å, degrees): 4.409 4.409 4.561 82.04 82.04 33.52
Sites, in units of the cell vectors:
Cu1 0.250 0.250 0.250
Tc1 0.750 0.750 0.750
Ni1 0.501 0.501 0.504
Ni2 0.999 0.999 0.996

***

[15]
Density functional theory data (PBE-GGA) for an optimized crystal structure of CuTcNi.

Properties
Magnetization: 0.000 μB per atom
Fermi-level density of states: 4.17 states/eV/f.u.
Space-group type: No. 156
E: -19.8 eV/cell
ρ: 9.59 g/cm3
Formation enthalpy at 0 K: 14.3 kJ/mol of atoms
Distance to the lowest polymorph of the same formula: 0.027 eV/atom

Lattice parameters (Å, degrees): 2.630 2.630 6.366 90.00 90.00 120.00
Sites, in units of the cell vectors:
Cu1 0.000 0.000 0.010
Tc1 0.333 0.667 0.658
Ni1 0.667 0.333 0.332

***

[16]
Density functional theory data (PBE-GGA) for an optimized crystal structure of CuTcNi6.

Properties
Magnetization: 0.000 μB per atom
Fermi-level density of states: 9.96 states/eV/f.u.
Space-group type: No. 65
E: -195.6 eV/cell
ρ: 9.34 g/cm3
Formation enthalpy at 0 K: 3.0 kJ/mol of atoms
Distance to the lowest polymorph of the same formula: 0.016 eV/atom

Lattice parameters (Å, degrees): 6.187 6.187 10.116 90.00 90.00 109.36
Sites, in units of the cell vectors:
Ni1 0.249 0.751 0.002
Ni2 0.626 0.875 0.875
Ni3 0.875 0.626 0.625
Ni4 0.374 0.125 0.875
Ni5 0.876 0.626 0.125
Ni6 0.626 0.875 0.625
Ni7 0.374 0.124 0.375
Ni8 0.875 0.626 0.875
Ni9 0.124 0.374 0.125
Ni10 0.374 0.125 0.625
Ni11 0.125 0.374 0.875
Ni12 0.751 0.249 0.002
Ni13 0.000 0.000 0.250
Ni14 0.125 0.374 0.625
Ni15 0.626 0.876 0.375
Ni16 0.876 0.626 0.375
Ni17 0.500 0.500 0.250
Ni18 0.249 0.751 0.498
Ni19 0.500 0.500 0.750
Ni20 0.751 0.249 0.498
Ni21 0.000 0.000 0.750
Ni22 0.374 0.124 0.125
Ni23 0.124 0.374 0.375
Ni24 0.626 0.876 0.125
Cu1 0.500 0.500 0.502
Cu2 0.251 0.749 0.750
Cu3 0.749 0.251 0.750
Cu4 0.500 0.500 0.998
Tc1 0.248 0.752 0.250
Tc2 0.752 0.248 0.250
Tc3 0.000 0.000 0.991
Tc4 0.000 0.000 0.509

***

[17]
Density functional theory data (PBE-GGA) for an optimized crystal structure of CuTcNiW.

Properties
Magnetization: 0.000 μB per atom
Fermi-level density of states: 0.66 states/eV/f.u.
Space-group type: No. 216
E: -32.5 eV/cell
ρ: 12.30 g/cm3
Formation enthalpy at 0 K: 16.7 kJ/mol of atoms

Lattice parameters (Å, degrees): 4.257 4.257 4.257 60.00 60.00 60.00
Sites, in units of the cell vectors:
W1 0.750 0.750 0.750
Tc1 0.500 0.500 0.500
Cu1 0.250 0.250 0.250
Ni1 0.000 0.000 0.000

***

[18]
Density functional theory data (PBE-GGA) for an optimized crystal structure of CuNi4Te.

Properties
Magnetization: 0.000 μB per atom
Fermi-level density of states: 7.28 states/eV/f.u.
Space-group type: No. 216
E: -29.3 eV/cell
ρ: 8.98 g/cm3

Lattice parameters (Å, degrees): 4.811 4.811 4.811 60.00 60.00 60.00
Sites, in units of the cell vectors:
Ni1 0.374 0.374 0.374
Ni2 0.374 0.374 0.877
Ni3 0.374 0.877 0.374
Ni4 0.877 0.374 0.374
Cu1 0.000 0.000 0.000
Te1 0.750 0.750 0.750

***

[19]
Density functional theory data (PBE-GGA) for an optimized crystal structure of CuNiTe.

Properties
Magnetization: 0.000 μB per atom
Fermi-level density of states: 1.97 states/eV/f.u.
Space-group type: No. 156
E: -12.4 eV/cell
ρ: 8.03 g/cm3

Lattice parameters (Å, degrees): 3.875 3.875 3.973 90.00 90.00 120.00
Sites, in units of the cell vectors:
Te1 0.667 0.333 0.632
Ni1 0.333 0.667 0.320
Cu1 0.000 0.000 0.048

***

[20]
Density functional theory data (PBE-GGA) for an optimized crystal structure of Cu2NiTe6.

Properties
Magnetization: 0.000 μB per atom
Fermi-level density of states: 4.30 states/eV/f.u.
Space-group type: No. 15
E: -65.4 eV/cell
ρ: 6.62 g/cm3

Lattice parameters (Å, degrees): 8.122 7.890 7.890 73.30 82.16 82.16
Sites, in units of the cell vectors:
Te1 0.932 0.200 0.950
Te2 0.181 0.035 0.624
Te3 0.914 0.565 0.655
Te4 0.414 0.655 0.565
Te5 0.319 0.376 0.965
Te6 0.068 0.800 0.050
Te7 0.681 0.624 0.035
Te8 0.586 0.345 0.435
Te9 0.568 0.050 0.800
Te10 0.432 0.950 0.200
Te11 0.086 0.435 0.345
Te12 0.819 0.965 0.376
Ni1 0.750 0.919 0.081
Ni2 0.250 0.081 0.919
Cu1 0.359 0.225 0.321
Cu2 0.141 0.679 0.775
Cu3 0.859 0.321 0.225
Cu4 0.641 0.775 0.679